1.
This record from the Alexandria database describes an optimized crystal structure of AgAsW2. The functional is PBE-GGA.

Its formation energy is 0.7201 eV per atom.

The structure belongs to space group Pmmm (No. 47); the cell edges are 3.187, 4.531 and 4.624 Å and the angles 90.00°, 90.00° and 90.00°. Symmetry generates all atoms from Ag at (0.000, 0.000, 0.000), As at (0.500, 0.500, 0.000), W at (0.000, 0.500, 0.500) and W at (0.500, 0.000, 0.500).



2.
This record from the Alexandria database describes an optimized crystal structure of YAgRh2W. The functional is PBE-GGA.

Its formation energy is 1.9350 eV per atom.

The structure belongs to space group P4/mmm (No. 123); the cell edges are 4.847, 4.847 and 5.072 Å and the angles 90.00°, 90.00° and 90.00°. Symmetry generates all atoms from Y at (0.000, 0.000, 0.000), Ag at (0.500, 0.500, 0.500), Rh at (0.000, 0.500, 0.000) and W at (0.000, 0.000, 0.500).



3.
This record from the Alexandria database describes an optimized crystal structure of RbLi2NbF8. The functional is PBE-GGA.

The uncorrected formation energy comes out at -2.84 eV per atom.

The structure belongs to space group R32 (No. 155, hexagonal axes); the cell edges are 5.1211, 5.1211 and 23.9552 Å and the angles 90.00°, 90.00° and 120.00°. Symmetry generates all atoms from Rb at (0.0000, 0.0000, 0.0000), Li at (0.0000, 0.0000, 0.2662), Nb at (0.0000, 0.0000, 0.5000), F at (0.0000, 0.0000, 0.3383) and F at (0.0143, 0.3975, 0.1163).



4.
This record from the Alexandria database describes an optimized crystal structure of CdCuP3. The functional is PBE-GGA.

Its formation energy is 0.7740 eV per atom. As for the offset from the most stable computed form: 0 meV/atom.

The structure belongs to space group Pm-3m (No. 221); the cell edges are 4.571, 4.571 and 4.571 Å and the angles 90.00°, 90.00° and 90.00°. Symmetry generates all atoms from Cd at (0.000, 0.000, 0.000), Cu at (0.500, 0.500, 0.500) and P at (0.000, 0.500, 0.500).



| no. | raw total energy (eV per atom) |
| --- | --- |
| 1 | -7.63 |
| 2 | -5.46 |
| 3 | -5.33 |
| 4 | -3.47 |